Record 1
## HfNbNiIr (PBE-GGA)

Data for an optimized crystal structure of HfNbNiIr.

Lattice parameters (Å, degrees): 4.524 4.524 4.524 60.00 60.00 60.00
Atoms (fractional coordinates):
1 Nb 0.500 0.500 0.500
2 Hf 0.000 0.000 0.000
3 Ir 0.250 0.250 0.250
4 Ni 0.750 0.750 0.750

Calculated values
For the calculated formation energy, the calculation gives -0.430 eV/atom. For the density of states at the Fermi level, the calculation gives 0.97 states/eV per atom. The total energy comes out at -36.4 eV/cell. As for the crystal system: cubic.



Record 2
## LaB2H7 (PBE-GGA)

Data for an optimized crystal structure of LaB2H7.

Lattice parameters (Å, degrees): 3.225 7.360 7.360 149.36 90.00 90.00
Atoms (fractional coordinates):
1 H 0.500 0.594 0.915
2 H 0.500 0.500 0.500
3 B 0.500 0.611 0.389
4 La 0.000 0.000 0.000
5 H 0.500 0.406 0.085
6 H 0.000 0.597 0.403
7 H 0.500 0.085 0.406
8 B 0.500 0.389 0.611
9 H 0.500 0.915 0.594
10 H 0.000 0.403 0.597

Calculated values
For the density of states at the Fermi level, the calculation gives 0.14 states/eV per atom. The total energy comes out at -41.9 eV/cell. As for the crystal system: orthorhombic.



Record 3
## RbNb2Bi2 (PBE-GGA)

Data for an optimized crystal structure of RbNb2Bi2.

Lattice parameters (Å, degrees): 3.928 3.928 10.108 78.80 78.80 90.00
Atoms (fractional coordinates):
1 Bi 0.633 0.633 0.735
2 Nb 0.750 0.250 0.500
3 Bi 0.367 0.367 0.265
4 Nb 0.250 0.750 0.500
5 Rb 0.000 0.000 0.000

Calculated values
For the calculated formation energy, the calculation gives 0.040 eV/atom. For the density of states at the Fermi level, the calculation gives 0.83 states/eV per atom. The total energy comes out at -28.7 eV/cell. As for the crystal system: tetragonal.



Record 4
## CePr3Nd3Se8 (PBE-GGA)

Data for an optimized crystal structure of CePr3Nd3Se8.

Lattice parameters (Å, degrees): 8.472 8.472 8.478 119.98 90.00 120.00
Atoms (fractional coordinates):
1 Pr 0.000 0.500 0.000
2 Nd 0.500 0.000 0.500
3 Nd 0.500 0.500 0.500
4 Pr 0.500 0.500 0.000
5 Se 0.253 0.002 0.251
6 Pr 0.000 0.000 0.000
7 Se 0.749 0.498 0.747
8 Se 0.251 0.998 0.749
9 Se 0.749 0.498 0.251
10 Se 0.251 0.502 0.253
11 Se 0.251 0.502 0.749
12 Se 0.749 0.002 0.251
13 Ce 0.000 0.000 0.500
14 Nd 0.000 0.500 0.500
15 Se 0.747 0.998 0.749

Calculated values
For the density of states at the Fermi level, the calculation gives 0.91 states/eV per atom. The total energy comes out at -90.3 eV/cell. The value obtained for the uncorrected formation energy is -1.856 eV/atom. As for the crystal system: trigonal.



Record 5
## ErHPdRh2 (PBE-GGA)

Data for an optimized crystal structure of ErHPdRh2.

Lattice parameters (Å, degrees): 4.091 4.087 4.087 90.00 90.00 90.00
Atoms (fractional coordinates):
1 Rh 0.000 0.000 0.500
2 Rh 0.000 0.500 0.000
3 Er 0.500 0.500 0.500
4 Pd 0.500 0.000 0.000
5 H 0.000 0.000 0.000

Calculated values
For the density of states at the Fermi level, the calculation gives 1.13 states/eV per atom. The total energy comes out at -30.7 eV/cell. As for the crystal system: tetragonal.



Record 6
## PuPH (PBE-GGA)

Data for an optimized crystal structure of PuPH.

Lattice parameters (Å, degrees): 4.067 4.066 3.958 120.86 90.00 120.07
Atoms (fractional coordinates):
1 Pu 0.731 0.387 0.320
2 P 0.224 0.374 0.800
3 H 0.394 0.712 0.308

Calculated values
Its excess energy over the best structure of this formula in the dataset is 92 meV/atom. For the density of states at the Fermi level, the calculation gives 2.98 states/eV per atom. The total energy comes out at -25.0 eV/cell. As for the crystal system: trigonal.



Record 7
## ZrSi2SnPt (PBE-GGA)

Data for an optimized crystal structure of ZrSi2SnPt.

Lattice parameters (Å, degrees): 5.068 5.036 5.068 90.00 90.00 90.00
Atoms (fractional coordinates):
1 Sn 0.500 0.500 0.500
2 Pt 0.000 0.500 0.000
3 Si 0.000 0.000 0.500
4 Zr 0.000 0.000 0.000
5 Si 0.500 0.000 0.000

Calculated values
For the density of states at the Fermi level, the calculation gives 0.61 states/eV per atom. The total energy comes out at -26.1 eV/cell. The value obtained for the uncorrected formation energy is 0.658 eV/atom. As for the crystal system: tetragonal.



Record 8
## PmLuBeNi (PBE-GGA)

Data for an optimized crystal structure of PmLuBeNi.

Lattice parameters (Å, degrees): 4.816 4.816 4.816 60.00 60.00 60.00
Atoms (fractional coordinates):
1 Lu 0.500 0.500 0.500
2 Be 0.750 0.750 0.750
3 Ni 0.250 0.250 0.250
4 Pm 0.000 0.000 0.000

Calculated values
For the calculated formation energy, the calculation gives -0.103 eV/atom. For the density of states at the Fermi level, the calculation gives 0.78 states/eV per atom. The total energy comes out at -19.2 eV/cell. As for the crystal system: cubic.



Record 9
## CaEr2Cd6 (PBE-GGA)

Data for an optimized crystal structure of CaEr2Cd6.

Lattice parameters (Å, degrees): 3.448 8.622 8.622 120.00 90.00 90.00
Atoms (fractional coordinates):
1 Er 0.000 0.667 0.333
2 Cd 0.500 0.665 0.665
3 Er 0.000 0.333 0.667
4 Cd 0.500 0.665 0.000
5 Cd 0.500 0.000 0.335
6 Ca 0.000 0.000 0.000
7 Cd 0.500 0.000 0.665
8 Cd 0.500 0.335 0.000
9 Cd 0.500 0.335 0.335

Calculated values
For the calculated formation energy, the calculation gives -0.306 eV/atom. For the density of states at the Fermi level, the calculation gives 0.82 states/eV per atom. The total energy comes out at -19.4 eV/cell. As for the crystal system: hexagonal.



Record 10
## BaZn5As4 (PBE-GGA)

Data for an optimized crystal structure of BaZn5As4.

Lattice parameters (Å, degrees): 4.211 7.654 8.364 117.23 104.58 90.00
Atoms (fractional coordinates):
1 Zn 0.825 0.622 0.651
2 Ba 0.500 0.000 0.000
3 As 0.733 0.233 0.465
4 As 0.000 0.698 0.000
5 Zn 0.500 0.500 0.000
6 Zn 0.825 0.028 0.651
7 As 0.267 0.767 0.535
8 Zn 0.175 0.378 0.349
9 Zn 0.175 0.972 0.349
10 As 0.000 0.302 0.000

Calculated values
For the calculated formation energy, the calculation gives -0.208 eV/atom. For the density of states at the Fermi level, the calculation gives 0.10 states/eV per atom. The total energy comes out at -29.0 eV/cell. As for the crystal system: orthorhombic.



Record 11
## Nd4HgPb (PBE-GGA)

Data for an optimized crystal structure of Nd4HgPb.

Lattice parameters (Å, degrees): 5.307 5.307 7.534 89.98 89.99 90.00
Atoms (fractional coordinates):
1 Pb 0.501 0.497 0.998
2 Nd 0.001 0.497 0.260
3 Nd 0.001 0.497 0.736
4 Hg 0.001 0.997 0.498
5 Nd 0.501 0.997 0.736
6 Nd 0.501 0.997 0.260

Calculated values
For the calculated formation energy, the calculation gives -0.175 eV/atom. For the density of states at the Fermi level, the calculation gives 1.46 states/eV per atom. The total energy comes out at -24.1 eV/cell. As for the crystal system: tetragonal.



Record 12
## IrPt2 (PBE-GGA)

Data for an optimized crystal structure of IrPt2.

Lattice parameters (Å, degrees): 5.070 5.070 5.070 105.42 105.42 117.92
Atoms (fractional coordinates):
1 Ir 0.750 0.750 0.000
2 Pt 0.851 0.351 0.202
3 Ir 0.250 0.250 0.000
4 Pt 0.351 0.149 0.500
5 Pt 0.649 0.851 0.500
6 Pt 0.149 0.649 0.798

Calculated values
Its excess energy over the best structure of this formula in the dataset is 309 meV/atom. For the calculated formation energy, the calculation gives 0.349 eV/atom. For the density of states at the Fermi level, the calculation gives 1.56 states/eV per atom. The total energy comes out at -39.8 eV/cell. As for the crystal system: tetragonal.



Record 13
## Pu2PdBr8 (PBE-GGA)

Data for an optimized crystal structure of Pu2PdBr8.

Lattice parameters (Å, degrees): 10.572 7.472 7.472 54.51 60.66 60.66
Atoms (fractional coordinates):
1 Br 0.872 0.910 0.408
2 Br 0.128 0.090 0.592
3 Br 0.500 0.156 0.156
4 Br 0.688 0.482 0.482
5 Br 0.500 0.844 0.844
6 Pu 0.616 0.304 0.304
7 Br 0.128 0.592 0.090
8 Br 0.872 0.408 0.910
9 Br 0.312 0.518 0.518
10 Pu 0.384 0.696 0.696
11 Pd 0.000 0.000 0.000

Calculated values
For the density of states at the Fermi level, the calculation gives 2.36 states/eV per atom. The total energy comes out at -59.5 eV/cell. The value obtained for the uncorrected formation energy is -1.117 eV/atom. As for the crystal system: monoclinic.



Record 14
## BaNa10Tl2 (PBE-GGA)

Data for an optimized crystal structure of BaNa10Tl2.

Lattice parameters (Å, degrees): 6.754 8.721 9.279 81.90 68.66 67.22
Atoms (fractional coordinates):
1 Na 0.350 0.633 0.667
2 Na 0.287 0.222 0.204
3 Ba 0.000 0.000 0.000
4 Tl 0.500 0.500 0.000
5 Tl 0.000 0.500 0.000
6 Na 0.509 0.778 0.204
7 Na 0.983 0.367 0.667
8 Na 0.000 0.000 0.500
9 Na 0.500 0.000 0.500
10 Na 0.713 0.778 0.796
11 Na 0.491 0.222 0.796
12 Na 0.650 0.367 0.333
13 Na 0.017 0.633 0.333

Calculated values
For the calculated formation energy, the calculation gives -0.046 eV/atom. For the density of states at the Fermi level, the calculation gives 0.60 states/eV per atom. The total energy comes out at -20.4 eV/cell. As for the crystal system: orthorhombic.



Record 15
## TmLuZnAu (PBE-GGA)

Data for an optimized crystal structure of TmLuZnAu.

Lattice parameters (Å, degrees): 4.988 4.988 4.988 60.00 60.00 60.00
Atoms (fractional coordinates):
1 Tm 0.250 0.250 0.250
2 Au 0.000 0.000 0.000
3 Zn 0.500 0.500 0.500
4 Lu 0.750 0.750 0.750

Calculated values
For the calculated formation energy, the calculation gives -0.623 eV/atom. For the density of states at the Fermi level, the calculation gives 0.93 states/eV per atom. The total energy comes out at -16.0 eV/cell. As for the crystal system: cubic.



Record 16
## BaNaGaSb2 (PBE-GGA)

Data for an optimized crystal structure of BaNaGaSb2.

Lattice parameters (Å, degrees): 6.621 6.777 8.238 114.29 90.00 90.00
Atoms (fractional coordinates):
1 Ga 0.000 0.500 0.000
2 Sb 0.236 0.136 0.272
3 Ba 0.240 0.750 0.500
4 Sb 0.764 0.636 0.272
5 Ga 0.000 0.000 0.000
6 Na 0.500 0.750 0.000
7 Sb 0.236 0.364 0.728
8 Na 0.500 0.250 0.000
9 Sb 0.764 0.864 0.728
10 Ba 0.760 0.250 0.500

Calculated values
For the density of states at the Fermi level, the calculation gives 0.13 states/eV per atom. The total energy comes out at -33.4 eV/cell. The value obtained for the uncorrected formation energy is -0.442 eV/atom. As for the crystal system: orthorhombic.



Record 17
## Pa2Ni2Ir (PBE-GGA)

Data for an optimized crystal structure of Pa2Ni2Ir.

Lattice parameters (Å, degrees): 7.086 7.086 7.152 90.00 90.00 90.00
Atoms (fractional coordinates):
1 Pa 0.819 0.319 0.500
2 Ir 0.000 0.000 0.250
3 Pa 0.181 0.681 0.500
4 Ni 0.876 0.624 0.250
5 Ni 0.624 0.124 0.250
6 Ir 0.500 0.500 0.250
7 Pa 0.319 0.181 0.500
8 Pa 0.681 0.819 0.000
9 Pa 0.819 0.319 0.000
10 Pa 0.319 0.181 0.000
11 Ni 0.376 0.876 0.750
12 Ni 0.624 0.124 0.750
13 Pa 0.181 0.681 0.000
14 Ni 0.876 0.624 0.750
15 Ni 0.124 0.376 0.750
16 Ir 0.000 0.000 0.750
17 Pa 0.681 0.819 0.500
18 Ni 0.376 0.876 0.250
19 Ir 0.500 0.500 0.750
20 Ni 0.124 0.376 0.250

Calculated values
Its excess energy over the best structure of this formula in the dataset is 35 meV/atom. For the calculated formation energy, the calculation gives -0.562 eV/atom. For the density of states at the Fermi level, the calculation gives 0.76 states/eV per atom. The total energy comes out at -168.9 eV/cell. As for the crystal system: tetragonal.



Record 18
## KPbI3 (PBE-GGA)

Data for an optimized crystal structure of KPbI3.

Lattice parameters (Å, degrees): 6.249 6.249 6.249 90.00 90.00 90.00
Atoms (fractional coordinates):
1 I 0.000 0.000 0.500
2 I 0.000 0.500 0.000
3 Pb 0.500 0.500 0.500
4 I 0.500 0.000 0.000
5 K 0.000 0.000 0.000

Calculated values
For the density of states at the Fermi level, the calculation gives 0.00 states/eV per atom. The total energy comes out at -10.8 eV/cell. The value obtained for the uncorrected formation energy is -0.259 eV/atom. As for the crystal system: cubic.



Record 19
## MgPd6Rh (PBE-GGA)

Data for an optimized crystal structure of MgPd6Rh.

Lattice parameters (Å, degrees): 3.936 3.936 7.925 90.00 90.00 90.00
Atoms (fractional coordinates):
1 Pd 0.500 0.000 0.253
2 Pd 0.000 0.500 0.253
3 Mg 0.000 0.000 0.000
4 Rh 0.000 0.000 0.500
5 Pd 0.500 0.000 0.747
6 Pd 0.000 0.500 0.747
7 Pd 0.500 0.500 0.000
8 Pd 0.500 0.500 0.500

Calculated values
For the calculated formation energy, the calculation gives -0.207 eV/atom. For the density of states at the Fermi level, the calculation gives 1.33 states/eV per atom. The total energy comes out at -41.8 eV/cell. As for the crystal system: tetragonal.



Record 20
## TbGdCuNi (PBE-GGA)

Data for an optimized crystal structure of TbGdCuNi.

Lattice parameters (Å, degrees): 4.877 4.877 4.877 60.00 60.00 60.00
Atoms (fractional coordinates):
1 Gd 0.500 0.500 0.500
2 Ni 0.750 0.750 0.750
3 Cu 0.250 0.250 0.250
4 Tb 0.000 0.000 0.000

Calculated values
For the calculated formation energy, the calculation gives -0.289 eV/atom. For the density of states at the Fermi level, the calculation gives 0.64 states/eV per atom. The total energy comes out at -29.7 eV/cell. As for the crystal system: cubic.



no.,total magnetic moment (μB per cell)
1,0.0
2,0.0
3,0.0
4,1.5
5,0.0
6,5.1
7,0.0
8,0.0
9,0.0
10,0.0
11,0.0
12,0.0
13,10.0
14,0.0
15,0.0
16,0.0
17,0.0
18,0.0
19,1.8
20,7.1